Record 1
A relaxed structure of TmCoAg, computed with PBE-GGA.

Cell lengths 4.487, 4.487, 4.487 Å; angles 60.00, 60.00, 60.00 degrees
Fractional coordinates of all 3 atoms:
Tm (0.000, 0.000, 0.000)
Co (0.250, 0.250, 0.250)
Ag (0.750, 0.750, 0.750)

Summary:
**Symmetry**: F-43m, No. 216
**DFT total energy**: -4.206 eV per atom
**Crystal system**: cubic
**M_tot**: 0.0 μB per formula unit
**E_form**: 0.596 eV per atom

***

Record 2
A relaxed structure of UCoAg, computed with PBE-GGA.

Cell lengths 4.385, 4.385, 4.385 Å; angles 60.00, 60.00, 60.00 degrees
Fractional coordinates of all 3 atoms:
U (0.000, 0.000, 0.000)
Co (0.750, 0.750, 0.750)
Ag (0.500, 0.500, 0.500)

Summary:
**Symmetry**: F-43m, No. 216
**DFT total energy**: -6.628 eV per atom
**Crystal system**: cubic
**M_tot**: 2.2 μB per formula unit
**E_form**: 0.448 eV per atom

***

Record 3
A relaxed structure of UCoAg, computed with PBE-GGA.

Cell lengths 4.568, 4.568, 4.568 Å; angles 60.00, 60.00, 60.00 degrees
Fractional coordinates of all 3 atoms:
U (0.000, 0.000, 0.000)
Co (0.250, 0.250, 0.250)
Ag (0.750, 0.750, 0.750)

Summary:
**Symmetry**: F-43m, No. 216
**DFT total energy**: -6.074 eV per atom
**Crystal system**: cubic
**M_tot**: 1.8 μB per formula unit
**E_form**: 1.002 eV per atom

***

Record 4
A relaxed structure of CoAgW, computed with PBE-GGA.

Cell lengths 4.104, 4.104, 4.104 Å; angles 60.00, 60.00, 60.00 degrees
Fractional coordinates of all 3 atoms:
Co (0.000, 0.000, 0.000)
Ag (0.750, 0.750, 0.750)
W (0.250, 0.250, 0.250)

Summary:
**Symmetry**: F-43m, No. 216
**DFT total energy**: -6.736 eV per atom
**Crystal system**: cubic
**Energy above the lowest structure with this stoichiometry**: 0 meV per atom
**M_tot**: 1.2 μB per formula unit
**E_form**: 0.894 eV per atom

***

Q: Which of these has the highest M_tot?
A: number 2

***

Q: Which of these has the lowest E_form?
A: number 2

***

Q: Which of these has the lowest DFT total energy?
A: CoAgW

***

Please write out number 1 again, unchanged.
A relaxed structure of TmCoAg, computed with PBE-GGA.

Cell lengths 4.487, 4.487, 4.487 Å; angles 60.00, 60.00, 60.00 degrees
Fractional coordinates of all 3 atoms:
Tm (0.000, 0.000, 0.000)
Co (0.250, 0.250, 0.250)
Ag (0.750, 0.750, 0.750)

Summary:
**Symmetry**: F-43m, No. 216
**DFT total energy**: -4.206 eV per atom
**Crystal system**: cubic
**M_tot**: 0.0 μB per formula unit
**E_form**: 0.596 eV per atom